P.
ScU2Se6: relaxed, PBE.

Results
The value obtained for the density is 6.2 g/cm³. Its crystal system is tetragonal. The space group is P4_2/mnm (136).

CIF file:
```
data_ScU2Se6
_chemical_formula_sum 'Sc2 U4 Se12'
_cell_length_a 6.553
_cell_length_b 6.553
_cell_length_c 12.343
_cell_angle_alpha 90.00
_cell_angle_beta 90.00
_cell_angle_gamma 90.00
_space_group_name_H-M_alt 'P 1'
_space_group_IT_number 1
loop_
_space_group_symop_operation_xyz
'x,y,z'
loop_
_atom_site_label
_atom_site_type_symbol
_atom_site_fract_x
_atom_site_fract_y
_atom_site_fract_z
Sc1 Sc 0.000 0.000 0.000
Sc2 Sc 0.500 0.500 0.500
U1 U 0.000 0.000 0.331
U2 U 0.000 0.000 0.669
U3 U 0.500 0.500 0.169
U4 U 0.500 0.500 0.831
Se1 Se 0.196 0.196 0.161
Se2 Se 0.196 0.196 0.839
Se3 Se 0.199 0.199 0.500
Se4 Se 0.301 0.699 0.000
Se5 Se 0.304 0.696 0.339
Se6 Se 0.304 0.696 0.661
Se7 Se 0.696 0.304 0.339
Se8 Se 0.696 0.304 0.661
Se9 Se 0.699 0.301 0.000
Se10 Se 0.801 0.801 0.500
Se11 Se 0.804 0.804 0.161
Se12 Se 0.804 0.804 0.839
```

Q.
ScU2Se6: relaxed, PBE.

Results
The value obtained for the density is 5.7 g/cm³. Its crystal system is monoclinic. The space group is C2/m (12).

CIF file:
```
data_ScU2Se6
_chemical_formula_sum 'Sc1 U2 Se6'
_cell_length_a 9.125
_cell_length_b 9.125
_cell_length_c 8.286
_cell_angle_alpha 104.82
_cell_angle_beta 104.82
_cell_angle_gamma 25.74
_space_group_name_H-M_alt 'P 1'
_space_group_IT_number 1
loop_
_space_group_symop_operation_xyz
'x,y,z'
loop_
_atom_site_label
_atom_site_type_symbol
_atom_site_fract_x
_atom_site_fract_y
_atom_site_fract_z
Sc1 Sc 0.000 0.000 0.000
U1 U 0.337 0.337 0.680
U2 U 0.663 0.663 0.320
Se1 Se 0.159 0.159 0.088
Se2 Se 0.173 0.173 0.562
Se3 Se 0.495 0.495 0.773
Se4 Se 0.505 0.505 0.227
Se5 Se 0.827 0.827 0.438
Se6 Se 0.841 0.841 0.912
```

Energies relative to the most stable structure, in kJ/mol of atoms: P 9.7; Q 0.0.